# 1
DFT (PBEsol) results for a relaxed Si2CCl2 crystal.

POSCAR file:
```
Si2CCl2
1.0
5.516 0.000 0.000
0.000 5.516 0.000
0.000 0.000 4.630
Si C Cl
4 2 4
direct
0.165 0.335 0.000
0.335 0.835 0.000
0.665 0.165 0.000
0.835 0.665 0.000
0.000 0.000 0.000
0.500 0.500 0.000
0.192 0.308 0.500
0.308 0.808 0.500
0.692 0.192 0.500
0.808 0.692 0.500
```

Symmetry: P4/mbm (127)
Uncorrected formation energy: 0.441 eV per atom
Energy: -22.947 eV/f.u.
Magnetization: 0.0 μB/cell


# 2
DFT (PBEsol) results for a relaxed MgTl2In crystal.

POSCAR file:
```
MgTl2In
1.0
11.443 0.000 0.000
0.000 3.425 0.000
-1.392 0.000 5.221
Mg Tl In
2 4 2
direct
0.000 0.000 0.000
0.500 0.500 0.000
0.008 0.500 0.504
0.244 0.500 0.221
0.508 0.000 0.504
0.744 0.000 0.221
0.266 0.000 0.736
0.766 0.500 0.736
```

Symmetry: Cm (8)
Energy: -10.034 eV/f.u.
Magnetization: 0.0 μB/cell


# 3
DFT (PBEsol) results for a relaxed Al4Br crystal.

POSCAR file:
```
Al4Br
1.0
3.935 0.000 0.000
0.000 3.935 0.000
0.000 0.000 13.188
Al Br
8 2
direct
0.000 0.000 0.101
0.000 0.000 0.899
0.000 0.500 0.250
0.000 0.500 0.750
0.500 0.000 0.250
0.500 0.000 0.750
0.500 0.500 0.399
0.500 0.500 0.601
0.000 0.000 0.500
0.500 0.500 0.000
```

Symmetry: I4/mmm (139)
Uncorrected formation energy: 0.147 eV per atom
Energy: -17.502 eV/f.u.
Magnetization: 0.0 μB/cell


# 4
DFT (PBEsol) results for a relaxed CoSbBr crystal.

POSCAR file:
```
CoSbBr
1.0
6.219 0.000 0.000
0.000 6.219 0.000
0.000 0.000 6.219
Co Sb Br
4 4 4
direct
0.000 0.000 0.000
0.000 0.500 0.500
0.500 0.000 0.500
0.500 0.500 0.000
0.250 0.250 0.250
0.250 0.750 0.750
0.750 0.250 0.750
0.750 0.750 0.250
0.250 0.250 0.750
0.250 0.750 0.250
0.750 0.250 0.250
0.750 0.750 0.750
```

Symmetry: F-43m (216)
Uncorrected formation energy: 0.327 eV per atom
Energy: -13.183 eV/f.u.
Magnetization: 0.0 μB/cell


# 5
DFT (PBEsol) results for a relaxed NbGeP3 crystal.

POSCAR file:
```
NbGeP3
1.0
4.771 0.000 0.000
0.000 4.771 0.000
0.000 0.000 4.771
Nb Ge P
1 1 3
direct
0.000 0.000 0.000
0.500 0.500 0.500
0.000 0.000 0.500
0.000 0.500 0.000
0.500 0.000 0.000
```

Symmetry: Pm-3m (221)
Energy: -30.426 eV/f.u.
Magnetization: 0.0 μB/cell


# 6
DFT (PBEsol) results for a relaxed Ba2MgMoRu crystal.

POSCAR file:
```
Ba2MgMoRu
1.0
6.107 0.000 0.000
0.000 6.107 0.000
0.000 0.000 4.956
Ba Mg Mo Ru
2 1 1 1
direct
0.000 0.500 0.000
0.500 0.000 0.000
0.000 0.000 0.000
0.000 0.000 0.500
0.500 0.500 0.500
```

Symmetry: P4/mmm (123)
Energy: -18.067 eV/f.u.
Magnetization: 5.3 μB/cell


| no. | theoretical density (g cm⁻³) |
| --- | --- |
| 1 | 3.3 |
| 2 | 8.9 |
| 3 | 3.1 |
| 4 | 7.2 |
| 5 | 4.0 |
| 6 | 4.5 |